ScFeHg | PBE-GGA | relaxed

Lattice parameters (Å, degrees): 4.5686 4.5686 3.1267 90.00 90.00 120.00
Space group P3m1 (No. 156)
Inequivalent atoms, fractional coordinates:
Sc 0.0000 0.0000 0.0000 [1 per cell]
Fe 0.6667 0.3333 0.5013 [1 per cell]
Hg 0.3333 0.6667 0.4994 [1 per cell]

=====

PmDySc2Tl4 | PBE-GGA | relaxed

Lattice parameters (Å, degrees): 5.2694 5.2694 25.8625 90.00 90.00 120.00
Space group R-3m (No. 166, hexagonal axes)
Inequivalent atoms, fractional coordinates:
Pm 0.0000 0.0000 0.0000 [3 per cell]
Dy 0.0000 0.0000 0.5000 [3 per cell]
Sc 0.0000 0.0000 0.2497 [6 per cell]
Tl 0.0000 0.0000 0.1262 [6 per cell]
Tl 0.0000 0.0000 0.3764 [6 per cell]

=====

Ti5ZnPd2 | PBE-GGA | relaxed

Lattice parameters (Å, degrees): 6.399 8.925 5.486 90.00 125.56 90.00
Space group C2/m (No. 12)
Inequivalent atoms, fractional coordinates:
Ti 0.000 0.000 0.000 [2 per cell]
Ti 0.000 0.000 0.500 [2 per cell]
Ti 0.000 0.500 0.000 [2 per cell]
Ti 0.250 0.250 0.500 [4 per cell]
Zn 0.000 0.500 0.500 [2 per cell]
Pd 0.250 0.250 0.000 [4 per cell]

=====

Energy of formation across the listed records, respectively: 0.07 -0.30 -0.28 eV/atom.
Calculated density across the listed records, respectively: 8.86 9.73 6.74 Mg/m³.
Total energy across the listed records, respectively: -4.96 -4.23 -6.68 eV per atom.